Entry 1:
# ZrSc2In (PBE, optimized geometry)
data_ZrSc2In
_chemical_formula_sum 'Zr1 Sc2 In1'
_cell_length_a 3.506
_cell_length_b 5.005
_cell_length_c 5.222
_cell_angle_alpha 90.00
_cell_angle_beta 90.00
_cell_angle_gamma 90.00
_space_group_name_H-M_alt 'P m m m'
_space_group_IT_number 47
_space_group_name_Hall '-P 2 2'
loop_
_atom_site_label
_atom_site_type_symbol
_atom_site_fract_x
_atom_site_fract_y
_atom_site_fract_z
Zr1 Zr 0.000 0.000 0.000
Sc1 Sc 0.000 0.500 0.500
Sc2 Sc 0.500 0.500 0.000
In1 In 0.500 0.000 0.500
# M_tot (μB/f.u.): 0.00
# Fermi-level density of states (states/eV/atom): 1.3989
# Raw total energy (eV/atom): -6.14



Entry 2:
# Li2CaOs (PBE, optimized geometry)
data_Li2CaOs
_chemical_formula_sum 'Li4 Ca2 Os2'
_cell_length_a 2.844
_cell_length_b 4.978
_cell_length_c 9.466
_cell_angle_alpha 90.00
_cell_angle_beta 90.00
_cell_angle_gamma 90.00
_space_group_name_H-M_alt 'I m m 2'
_space_group_IT_number 44
_space_group_name_Hall 'I 2 -2'
loop_
_atom_site_label
_atom_site_type_symbol
_atom_site_fract_x
_atom_site_fract_y
_atom_site_fract_z
Li1 Li 0.000 0.000 0.000
Li2 Li 0.000 0.500 0.275
Ca1 Ca 0.000 0.500 0.767
Os1 Os 0.000 0.000 0.544
# M_tot (μB/f.u.): 0.00
# Fermi-level density of states (states/eV/atom): 0.5280
# Raw total energy (eV/atom): -3.81
# Energy relative to the lowest polymorph listed for this composition (meV/atom): 123



Entry 3:
# SbPbSe2 (PBE, optimized geometry)
data_SbPbSe2
_chemical_formula_sum 'Sb4 Pb4 Se8'
_cell_length_a 5.970
_cell_length_b 5.970
_cell_length_c 16.095
_cell_angle_alpha 90.00
_cell_angle_beta 90.00
_cell_angle_gamma 90.00
_space_group_name_H-M_alt 'I -4 2 d'
_space_group_IT_number 122
_space_group_name_Hall 'I -4 2bw'
loop_
_atom_site_label
_atom_site_type_symbol
_atom_site_fract_x
_atom_site_fract_y
_atom_site_fract_z
Sb1 Sb 0.000 0.000 0.000
Pb1 Pb 0.000 0.000 0.500
Se1 Se 0.221 0.250 0.125
# M_tot (μB/f.u.): 0.00
# Fermi-level density of states (states/eV/atom): 0.3405
# Raw total energy (eV/atom): -3.82
# Raw formation energy (eV/f.u.): -0.47



Entry 4:
# Cd5In3Ga3 (PBE, optimized geometry)
data_Cd5In3Ga3
_chemical_formula_sum 'Cd5 In3 Ga3'
_cell_length_a 9.5538
_cell_length_b 9.5538
_cell_length_c 3.5181
_cell_angle_alpha 90.00
_cell_angle_beta 90.00
_cell_angle_gamma 120.00
_space_group_name_H-M_alt 'P -6 2 m'
_space_group_IT_number 189
_space_group_name_Hall 'P -6 -2'
loop_
_atom_site_label
_atom_site_type_symbol
_atom_site_fract_x
_atom_site_fract_y
_atom_site_fract_z
Cd1 Cd 0.0000 0.1760 0.0000
Cd2 Cd 0.3333 0.6667 0.0000
In1 In 0.0000 0.4228 0.5000
Ga1 Ga 0.0000 0.6572 0.0000
# M_tot (μB/f.u.): 0.00
# Fermi-level density of states (states/eV/atom): 0.3588
# Raw total energy (eV/atom): -1.87
# Energy relative to the lowest polymorph listed for this composition (meV/atom): 25



Entry 5:
# LaRuCl (PBE, optimized geometry)
data_LaRuCl
_chemical_formula_sum 'La1 Ru1 Cl1'
_cell_length_a 4.1191
_cell_length_b 4.1191
_cell_length_c 4.7955
_cell_angle_alpha 90.00
_cell_angle_beta 90.00
_cell_angle_gamma 120.00
_space_group_name_H-M_alt 'P 3 m 1'
_space_group_IT_number 156
_space_group_name_Hall 'P 3 -2"'
loop_
_atom_site_label
_atom_site_type_symbol
_atom_site_fract_x
_atom_site_fract_y
_atom_site_fract_z
La1 La 0.0000 0.0000 0.0000
Ru1 Ru 0.6667 0.3333 0.1725
Cl1 Cl 0.3333 0.6667 0.5228
# M_tot (μB/f.u.): 0.00
# Fermi-level density of states (states/eV/atom): 0.8788
# Raw total energy (eV/atom): -5.64
# Energy relative to the lowest polymorph listed for this composition (meV/atom): 870
# Raw formation energy (eV/f.u.): -0.86



Entry 6:
# Hf3ScRh (PBE, optimized geometry)
data_Hf3ScRh
_chemical_formula_sum 'Hf3 Sc1 Rh1'
_cell_length_a 4.997
_cell_length_b 4.997
_cell_length_c 4.997
_cell_angle_alpha 90.00
_cell_angle_beta 90.00
_cell_angle_gamma 90.00
_space_group_name_H-M_alt 'P m -3 m'
_space_group_IT_number 221
_space_group_name_Hall '-P 4 2 3'
loop_
_atom_site_label
_atom_site_type_symbol
_atom_site_fract_x
_atom_site_fract_y
_atom_site_fract_z
Hf1 Hf 0.000 0.000 0.500
Sc1 Sc 0.500 0.500 0.500
Rh1 Rh 0.000 0.000 0.000
# M_tot (μB/f.u.): 0.00
# Fermi-level density of states (states/eV/atom): 1.5821
# Raw total energy (eV/atom): -8.51
# Energy relative to the lowest polymorph listed for this composition (meV/atom): 401



- Which of these has the lowest raw total energy?
  Hf3ScRh